Rb2LiZr3O8 PBE optimized geometry; ΔE_f (raw) = -2.592 eV/atom; D(E_F) = 6.21 states/eV per cell; total energy = -105.45 eV/f.u.
1.0
-0.9311 2.0764 -6.1408
4.0783 -1.9080 -4.7555
-2.9512 -5.4043 -4.8719
Zr Rb O Li
3 2 8 1
Direct
0.4923 0.4923 0.0249 Zr
0.4923 0.9906 0.0249 Zr
0.9906 0.4923 0.0249 Zr
0.1319 0.1319 0.6042 Rb
0.4950 0.4950 0.5150 Rb
0.2714 0.2714 0.1858 O
0.7671 0.2892 0.1765 O
0.7671 0.7671 0.1765 O
0.2346 0.2346 0.8591 O
0.2346 0.6716 0.8591 O
0.6716 0.2346 0.8591 O
0.2892 0.7671 0.1765 O
0.7096 0.7096 0.8712 O
0.9453 0.9453 0.1642 Li